Entry 1:
DFT (PBE) results for a relaxed structure of Y2Si.

Cell lengths 7.081, 7.081, 7.081 Å; angles 152.29, 152.29, 39.59 degrees
Positions (direct):
Y 0.137 0.137 0.000
Y 0.863 0.863 0.000
Si 0.500 0.500 0.000

Calculated values
Formation energy from raw total energies: -0.378 eV per atom
Fermi-level density of states: 2.01 states/eV per cell
Space group: I4/mmm, No. 139



Entry 2:
DFT (PBE) results for a relaxed structure of Y2Si.

Cell lengths 6.088, 6.088, 7.867 Å; angles 109.73, 109.73, 33.39 degrees
Positions (direct):
Y 0.129 0.129 0.025
Y 0.152 0.152 0.602
Y 0.848 0.848 0.398
Y 0.871 0.871 0.975
Si 0.444 0.444 0.716
Si 0.556 0.556 0.284

Calculated values
Formation energy from raw total energies: -0.365 eV per atom
Fermi-level density of states: 6.03 states/eV per cell
Space group: C2/m, No. 12



Entry 3:
DFT (PBE) results for a relaxed structure of YSi6.

Cell lengths 5.756, 5.756, 5.756 Å; angles 109.47, 109.47, 109.47 degrees
Positions (direct):
Y 0.000 0.000 0.000
Si 0.250 0.500 0.750
Si 0.250 0.750 0.500
Si 0.500 0.250 0.750
Si 0.500 0.750 0.250
Si 0.750 0.250 0.500
Si 0.750 0.500 0.250

Calculated values
Formation energy from raw total energies: 0.192 eV per atom
Fermi-level density of states: 5.46 states/eV per cell
Space group: Im-3m, No. 229



Entry 4:
DFT (PBE) results for a relaxed structure of YSi8.

Cell lengths 6.763, 6.763, 6.763 Å; angles 93.69, 93.69, 150.59 degrees
Positions (direct):
Y 0.000 0.000 0.000
Si 0.000 0.335 0.335
Si 0.000 0.665 0.665
Si 0.317 0.317 0.635
Si 0.317 0.683 0.000
Si 0.335 0.000 0.335
Si 0.665 0.000 0.665
Si 0.683 0.317 0.000
Si 0.683 0.683 0.365

Calculated values
Formation energy from raw total energies: 0.266 eV per atom
Fermi-level density of states: 5.37 states/eV per cell
Space group: I4/mmm, No. 139



Entry 5:
DFT (PBE) results for a relaxed structure of Y2Si.

Cell lengths 6.626, 6.652, 4.093 Å; angles 90.00, 90.00, 90.00 degrees
Positions (direct):
Y 0.152 0.246 0.000
Y 0.348 0.746 0.500
Y 0.652 0.254 0.500
Y 0.848 0.754 0.000
Si 0.000 0.500 0.500
Si 0.500 0.000 0.000

Calculated values
Formation energy from raw total energies: -0.349 eV per atom
Fermi-level density of states: 8.88 states/eV per cell
Space group: Pnnm, No. 58



Entry 6:
DFT (PBE) results for a relaxed structure of Y2Si.

Cell lengths 6.069, 6.069, 6.069 Å; angles 60.00, 60.00, 60.00 degrees
Positions (direct):
Y 0.000 0.000 0.000
Y 0.000 0.000 0.500
Y 0.000 0.500 0.000
Y 0.500 0.000 0.000
Si 0.375 0.375 0.375
Si 0.625 0.625 0.625

Calculated values
Formation energy from raw total energies: 0.520 eV per atom
Fermi-level density of states: 4.99 states/eV per cell
Space group: Fd-3m, No. 227



Entry 7:
DFT (PBE) results for a relaxed structure of Y3Si.

Cell lengths 6.297, 6.297, 5.502 Å; angles 90.00, 90.00, 79.99 degrees
Positions (direct):
Y 0.084 0.324 0.750
Y 0.223 0.777 0.750
Y 0.324 0.084 0.250
Y 0.676 0.916 0.750
Y 0.777 0.223 0.250
Y 0.916 0.676 0.250
Si 0.415 0.585 0.250
Si 0.585 0.415 0.750

Calculated values
Energy relative to the lowest polymorph listed for this composition: 0.380 eV per atom
Formation energy from raw total energies: -0.057 eV per atom
Fermi-level density of states: 9.73 states/eV per cell
Space group: Cmcm, No. 63



Entry 8:
DFT (PBE) results for a relaxed structure of Y3Si.

Cell lengths 4.947, 6.421, 6.516 Å; angles 90.00, 90.00, 90.00 degrees
Positions (direct):
Y 0.250 0.013 0.154
Y 0.250 0.250 0.609
Y 0.250 0.487 0.154
Y 0.750 0.513 0.846
Y 0.750 0.750 0.391
Y 0.750 0.987 0.846
Si 0.250 0.750 0.672
Si 0.750 0.250 0.328

Calculated values
Energy relative to the lowest polymorph listed for this composition: 0.195 eV per atom
Formation energy from raw total energies: -0.243 eV per atom
Fermi-level density of states: 7.43 states/eV per cell
Space group: Pmmn, No. 59



Entry 9:
DFT (PBE) results for a relaxed structure of Y5Si.

Cell lengths 5.300, 8.978, 8.978 Å; angles 23.42, 90.00, 90.00 degrees
Positions (direct):
Y 0.000 0.000 0.000
Y 0.000 0.314 0.314
Y 0.500 0.194 0.194
Y 0.500 0.545 0.545
Y 0.500 0.877 0.877
Si 0.000 0.649 0.649

Calculated values
Formation energy from raw total energies: -0.082 eV per atom
Fermi-level density of states: 5.08 states/eV per cell
Space group: Amm2, No. 38



Entry 10:
DFT (PBE) results for a relaxed structure of Y3Si.

Cell lengths 3.607, 3.607, 10.153 Å; angles 90.00, 90.00, 120.00 degrees
Positions (direct):
Y 0.000 0.000 0.000
Y 0.667 0.333 0.292
Y 0.667 0.333 0.708
Si 0.000 0.000 0.500

Calculated values
Energy relative to the lowest polymorph listed for this composition: 0.333 eV per atom
Formation energy from raw total energies: -0.105 eV per atom
Fermi-level density of states: 4.74 states/eV per cell
Space group: P-6m2, No. 187



Entry 11:
DFT (PBE) results for a relaxed structure of YSi4.

Cell lengths 5.363, 5.363, 5.363 Å; angles 109.47, 109.47, 109.47 degrees
Positions (direct):
Y 0.000 0.000 0.000
Si 0.000 0.000 0.500
Si 0.000 0.500 0.000
Si 0.500 0.000 0.000
Si 0.500 0.500 0.500

Calculated values
Energy relative to the lowest polymorph listed for this composition: 0.669 eV per atom
Formation energy from raw total energies: 0.601 eV per atom
Fermi-level density of states: 2.38 states/eV per cell
Space group: Im-3m, No. 229



Entry 12:
DFT (PBE) results for a relaxed structure of Y3Si.

Cell lengths 5.234, 5.234, 5.234 Å; angles 60.00, 60.00, 60.00 degrees
Positions (direct):
Y 0.000 0.000 0.000
Y 0.250 0.250 0.250
Y 0.750 0.750 0.750
Si 0.500 0.500 0.500

Calculated values
Energy relative to the lowest polymorph listed for this composition: 0.421 eV per atom
Formation energy from raw total energies: -0.016 eV per atom
Fermi-level density of states: 6.00 states/eV per cell
Space group: Fm-3m, No. 225



Entry 13:
DFT (PBE) results for a relaxed structure of Y5Si.

Cell lengths 3.562, 3.562, 13.754 Å; angles 90.00, 90.00, 90.00 degrees
Positions (direct):
Y 0.000 0.000 0.000
Y 0.000 0.000 0.377
Y 0.000 0.000 0.623
Y 0.500 0.500 0.184
Y 0.500 0.500 0.816
Si 0.500 0.500 0.500

Calculated values
Formation energy from raw total energies: -0.167 eV per atom
Fermi-level density of states: 7.01 states/eV per cell
Space group: P4/mmm, No. 123